Entry 1:
# ZnCoW2 | the Alexandria database | PBE-GGA | optimized geometry
data_ZnCoW2
_chemical_formula_sum 'Zn4 Co4 W8'
_space_group_name_H-M_alt 'F -4 3 m'
_space_group_IT_number 216
_space_group_name_Hall 'F -4 2 3'
_cell_length_a 6.138
_cell_length_b 6.138
_cell_length_c 6.138
_cell_angle_alpha 90.00
_cell_angle_beta 90.00
_cell_angle_gamma 90.00
loop_
_atom_site_label
_atom_site_type_symbol
_atom_site_fract_x
_atom_site_fract_y
_atom_site_fract_z
_atom_site_occupancy
Zn1 Zn 0.000 0.000 0.000 1
Co1 Co 0.250 0.250 0.750 1
W1 W 0.000 0.000 0.500 1
W2 W 0.250 0.250 0.250 1
# Energy relative to the elements = 0.3563 eV/atom
# Size of the total moment = 0.00 μB/atom

=====

Entry 2:
# CoAg3Mo | the Alexandria database | PBE-GGA | optimized geometry
data_CoAg3Mo
_chemical_formula_sum 'Co1 Ag3 Mo1'
_space_group_name_H-M_alt 'P m -3 m'
_space_group_IT_number 221
_space_group_name_Hall '-P 4 2 3'
_cell_length_a 4.731
_cell_length_b 4.731
_cell_length_c 4.731
_cell_angle_alpha 90.00
_cell_angle_beta 90.00
_cell_angle_gamma 90.00
loop_
_atom_site_label
_atom_site_type_symbol
_atom_site_fract_x
_atom_site_fract_y
_atom_site_fract_z
_atom_site_occupancy
Co1 Co 0.000 0.000 0.000 1
Ag1 Ag 0.000 0.000 0.500 1
Mo1 Mo 0.500 0.500 0.500 1
# Energy relative to the elements = 1.4241 eV/atom
# Size of the total moment = 1.16 μB/atom

=====

Entry 3:
# Co2HgTe | the Alexandria database | PBE-GGA | optimized geometry
data_Co2HgTe
_chemical_formula_sum 'Co2 Hg1 Te1'
_space_group_name_H-M_alt 'P 4/m m m'
_space_group_IT_number 123
_space_group_name_Hall '-P 4 2'
_cell_length_a 4.503
_cell_length_b 4.503
_cell_length_c 3.241
_cell_angle_alpha 90.00
_cell_angle_beta 90.00
_cell_angle_gamma 90.00
loop_
_atom_site_label
_atom_site_type_symbol
_atom_site_fract_x
_atom_site_fract_y
_atom_site_fract_z
_atom_site_occupancy
Co1 Co 0.000 0.500 0.000 1
Hg1 Hg 0.000 0.000 0.500 1
Te1 Te 0.500 0.500 0.500 1
# Size of the total moment = 0.52 μB/atom
# E_form (uncorrected) = 477.4 meV per atom

=====

Entry 4:
# Ac2CuSnS5 | the Alexandria database | PBE-GGA | optimized geometry
data_Ac2CuSnS5
_chemical_formula_sum 'Ac8 Cu4 Sn4 S20'
_space_group_name_H-M_alt 'C m c 21'
_space_group_IT_number 36
_cell_length_a 4.231
_cell_length_b 17.736
_cell_length_c 11.880
_cell_angle_alpha 90.00
_cell_angle_beta 90.00
_cell_angle_gamma 90.00
loop_
_space_group_symop_operation_xyz
'x,y,z'
'-x,-y,z+1/2'
'-x,y,z'
'x,-y,z+1/2'
'x+1/2,y+1/2,z'
'-x+1/2,-y+1/2,z+1/2'
'-x+1/2,y+1/2,z'
'x+1/2,-y+1/2,z+1/2'
loop_
_atom_site_label
_atom_site_type_symbol
_atom_site_fract_x
_atom_site_fract_y
_atom_site_fract_z
_atom_site_occupancy
Ac1 Ac 0.000 0.114 0.000 1
Ac2 Ac 0.000 0.124 0.625 1
Cu1 Cu 0.000 0.251 0.427 1
Sn1 Sn 0.000 0.406 0.795 1
S1 S 0.000 0.040 0.390 1
S2 S 0.000 0.301 0.963 1
S3 S 0.000 0.302 0.635 1
S4 S 0.000 0.357 0.317 1
S5 S 0.000 0.495 0.609 1
# Size of the total moment = 0.00 μB/atom
# E_form (uncorrected) = -1316.6 meV per atom

=====

Entry 5:
# PAuBrCl2 | the Alexandria database | PBE-GGA | optimized geometry
data_PAuBrCl2
_chemical_formula_sum 'P1 Au1 Br1 Cl2'
_space_group_name_H-M_alt 'P 4/m m m'
_space_group_IT_number 123
_space_group_name_Hall '-P 4 2'
_cell_length_a 4.873
_cell_length_b 4.873
_cell_length_c 5.204
_cell_angle_alpha 90.00
_cell_angle_beta 90.00
_cell_angle_gamma 90.00
loop_
_atom_site_label
_atom_site_type_symbol
_atom_site_fract_x
_atom_site_fract_y
_atom_site_fract_z
_atom_site_occupancy
P1 P 0.000 0.000 0.000 1
Au1 Au 0.000 0.000 0.500 1
Br1 Br 0.500 0.500 0.000 1
Cl1 Cl 0.000 0.500 0.500 1
# Size of the total moment = 0.17 μB/atom
# E_form (uncorrected) = 453.9 meV per atom

=====

Entry 6:
# K2FeW | the Alexandria database | PBE-GGA | optimized geometry
data_K2FeW
_chemical_formula_sum 'K2 Fe1 W1'
_space_group_name_H-M_alt 'P m m m'
_space_group_IT_number 47
_cell_length_a 2.927
_cell_length_b 4.740
_cell_length_c 6.070
_cell_angle_alpha 90.00
_cell_angle_beta 90.00
_cell_angle_gamma 90.00
loop_
_space_group_symop_operation_xyz
'x,y,z'
'-x,-y,-z'
'-x,-y,z'
'x,y,-z'
'x,-y,-z'
'-x,y,z'
'-x,y,-z'
'x,-y,z'
loop_
_atom_site_label
_atom_site_type_symbol
_atom_site_fract_x
_atom_site_fract_y
_atom_site_fract_z
_atom_site_occupancy
K1 K 0.000 0.000 0.000 1
K2 K 0.500 0.500 0.000 1
Fe1 Fe 0.000 0.500 0.500 1
W1 W 0.500 0.000 0.500 1
# Energy relative to the elements = 1.5709 eV/atom
# Size of the total moment = 0.39 μB/atom

=====

Entry 7:
# Cs2ReSCl5 | the Alexandria database | PBE-GGA | optimized geometry
data_Cs2ReSCl5
_chemical_formula_sum 'Cs4 Re2 S2 Cl10'
_space_group_name_H-M_alt 'I 4 m m'
_space_group_IT_number 107
_space_group_name_Hall 'I 4 -2'
_cell_length_a 7.479
_cell_length_b 7.479
_cell_length_c 10.557
_cell_angle_alpha 90.00
_cell_angle_beta 90.00
_cell_angle_gamma 90.00
loop_
_atom_site_label
_atom_site_type_symbol
_atom_site_fract_x
_atom_site_fract_y
_atom_site_fract_z
_atom_site_occupancy
Cs1 Cs 0.000 0.500 0.000 1
Re1 Re 0.000 0.000 0.232 1
S1 S 0.000 0.000 0.026 1
Cl1 Cl 0.000 0.000 0.469 1
Cl2 Cl 0.225 0.225 0.250 1
# Size of the total moment = 0.22 μB/atom
# E_form (uncorrected) = -1177.8 meV per atom

=====

Entry 8:
# Tm3Ag5S12 | the Alexandria database | PBE-GGA | optimized geometry
data_Tm3Ag5S12
_chemical_formula_sum 'Tm24 Ag40 S96'
_space_group_name_H-M_alt 'I a -3 d'
_space_group_IT_number 230
_space_group_name_Hall '-I 4bd 2c 3'
_cell_length_a 15.247
_cell_length_b 15.247
_cell_length_c 15.247
_cell_angle_alpha 90.00
_cell_angle_beta 90.00
_cell_angle_gamma 90.00
loop_
_atom_site_label
_atom_site_type_symbol
_atom_site_fract_x
_atom_site_fract_y
_atom_site_fract_z
_atom_site_occupancy
Tm1 Tm 0.000 0.250 0.125 1
Ag1 Ag 0.000 0.000 0.000 1
Ag2 Ag 0.000 0.250 0.375 1
S1 S 0.015 0.065 0.652 1
# Size of the total moment = 0.00 μB/atom
# E_form (uncorrected) = -507.8 meV per atom